The following is a PBE calculation of a relaxed structure of PrEr5Cd2, from the Alexandria database.

Summary:
As for the formation energy: -0.0822 eV/atom. For the density, the calculation gives 8.49 g/cm3. Its crystal system is orthorhombic. The value obtained for the total energy is -30.08 eV/f.u.

Unit cell a=8.3672 b=8.3672 c=8.3672 alpha=155.22 beta=103.65 gamma=81.73
Atoms (fractional coordinates):
Pr  0.0000  0.0000  0.0000
Er  0.1402  0.3656  0.7746
Er  0.4090  0.6344  0.7746
Er  0.5000  0.0000  0.5000
Er  0.5910  0.3656  0.2254
Er  0.8598  0.6344  0.2254
Cd  0.2436  0.7436  0.5000
Cd  0.7564  0.2564  0.5000